# 1
Crystalline RhAuCl at its relaxed geometry, computed with PBE.

Results
Energy relative to the lowest polymorph listed for this composition ... 4.3 meV per atom

abc: 2.883 6.454 12.322
angles: 90.00 90.00 90.00
Space group Imma (No. 74)
Unique sites:
Rh 0.000 0.000 0.000
Au 0.000 0.250 0.348
Cl 0.000 0.250 0.871

# 2
Crystalline RhAuCl2 at its relaxed geometry, computed with PBE.

Results
Energy relative to the lowest polymorph listed for this composition ... 241.1 meV per atom

abc: 8.244 8.244 5.335
angles: 90.00 90.00 90.00
Space group I-42d (No. 122)
Unique sites:
Rh 0.000 0.000 0.000
Au 0.000 0.000 0.500
Cl 0.113 0.250 0.125

# 3
Crystalline RhAuCl at its relaxed geometry, computed with PBE.

Results
Energy relative to the lowest polymorph listed for this composition ... 101.7 meV per atom

abc: 11.200 2.861 7.468
angles: 90.00 113.91 90.00
Space group Cm (No. 8)
Unique sites:
Rh 0.000 0.000 0.000
Rh 0.153 0.500 0.864
Au 0.150 0.500 0.335
Au 0.298 0.000 0.690
Cl 0.344 0.500 0.134
Cl 0.481 0.000 0.568

# 4
Crystalline RhAuCl2 at its relaxed geometry, computed with PBE.

Results
Energy relative to the lowest polymorph listed for this composition ... 734.8 meV per atom

abc: 6.673 6.673 6.673
angles: 90.00 90.00 90.00
Space group F-43m (No. 216)
Unique sites:
Rh 0.000 0.000 0.000
Au 0.250 0.250 0.250
Cl 0.000 0.000 0.500
Cl 0.250 0.250 0.750

# 5
Crystalline RhAuCl at its relaxed geometry, computed with PBE.

Results
Energy relative to the lowest polymorph listed for this composition ... 111.9 meV per atom

abc: 5.415 4.682 6.167
angles: 90.00 115.11 90.00
Space group P2_1 (No. 4)
Unique sites:
Rh 0.104 0.000 0.001
Au 0.368 0.503 0.956
Cl 0.189 0.738 0.358

# 6
Crystalline RhAuCl2 at its relaxed geometry, computed with PBE.

Results
Energy relative to the lowest polymorph listed for this composition ... 354.2 meV per atom

abc: 2.987 4.383 12.259
angles: 90.00 90.00 90.00
Space group Imm2 (No. 44)
Unique sites:
Rh 0.000 0.000 0.000
Au 0.000 0.500 0.311
Cl 0.000 0.000 0.481
Cl 0.000 0.500 0.660

# 7
Crystalline RhAu2Cl at its relaxed geometry, computed with PBE.

Results
Energy relative to the lowest polymorph listed for this composition ... 173.1 meV per atom

abc: 2.966 5.233 9.111
angles: 90.00 90.00 90.00
Space group Cmmm (No. 65)
Unique sites:
Rh 0.000 0.000 0.000
Au 0.000 0.500 0.248
Cl 0.000 0.000 0.500

# 8
Crystalline RhAu2Cl at its relaxed geometry, computed with PBE.

Results
Energy relative to the lowest polymorph listed for this composition ... 117.6 meV per atom

abc: 3.005 3.005 8.223
angles: 90.00 90.00 90.00
Space group P4mm (No. 99)
Unique sites:
Rh 0.000 0.000 0.000
Au 0.000 0.000 0.471
Au 0.500 0.500 0.232
Cl 0.500 0.500 0.812

# 9
Crystalline RhAuCl2 at its relaxed geometry, computed with PBE.

Results
Energy relative to the lowest polymorph listed for this composition ... 262.1 meV per atom

abc: 3.3094 3.3094 28.4046
angles: 90.00 90.00 120.00
Space group R-3m (No. 166, hexagonal axes)
Unique sites:
Rh 0.0000 0.0000 0.0000
Au 0.0000 0.0000 0.5000
Cl 0.0000 0.0000 0.3864

# 10
Crystalline RhAu2Cl at its relaxed geometry, computed with PBE.

Results
Energy relative to the lowest polymorph listed for this composition ... 59.5 meV per atom

abc: 2.935 5.172 9.661
angles: 90.00 90.00 90.00
Space group Cmm2 (No. 35)
Unique sites:
Rh 0.000 0.000 0.000
Au 0.000 0.000 0.503
Au 0.000 0.500 0.761
Cl 0.000 0.500 0.190

# 11
Crystalline RhAuCl at its relaxed geometry, computed with PBE.

Results
Energy relative to the lowest polymorph listed for this composition ... 86.1 meV per atom

abc: 12.003 2.954 8.556
angles: 90.00 127.94 90.00
Space group Cm (No. 8)
Unique sites:
Rh 0.000 0.000 0.000
Rh 0.105 0.500 0.866
Au 0.278 0.000 0.203
Au 0.398 0.500 0.548
Cl 0.011 0.500 0.239
Cl 0.250 0.500 0.769

# 12
Crystalline Rh3AuCl at its relaxed geometry, computed with PBE.

Results
Energy relative to the lowest polymorph listed for this composition ... 0.0 meV per atom

abc: 4.400 4.400 4.400
angles: 90.00 90.00 90.00
Space group Pm-3m (No. 221)
Unique sites:
Rh 0.000 0.000 0.500
Au 0.500 0.500 0.500
Cl 0.000 0.000 0.000

no.,density (Mg/m³),DOS at the Fermi energy (states/eV per cell),formation energy (no corrections) (kJ/mol of atoms)
1,9.7,12.08,2.45
2,6.8,5.99,13.87
3,10.2,11.10,11.84
4,8.3,12.73,61.50
5,7.9,7.54,12.83
6,7.7,5.12,24.78
7,12.5,8.72,31.79
8,11.9,2.54,26.44
9,6.9,13.25,15.90
10,12.1,4.40,20.83
11,9.3,9.29,10.34
12,10.6,7.66,70.90